1.
PBE KAg2Au, relaxed; DFT formation energy = 0.08 eV per atom; ΔE to the lowest computed polymorph = 187 meV per atom; crystal system = monoclinic
1.0
4.9575 0.0000 0.0000
0.0000 2.9018 0.0208
0.0000 1.1289 6.5058
Ag Au K
2 1 1
direct
0.0000 0.0577 0.0577
0.0000 0.4423 0.4423
0.5000 0.2500 0.2500
0.5000 0.7500 0.7500

2.
PBE TlCoSn2Se, relaxed; uncorrected formation energy = -0.4 eV per formula unit; crystal system = tetragonal
1.0
-3.0793 -3.7555 0.6885
1.3570 -0.2497 4.7070
-3.6872 3.2498 1.2354
Tl Co Sn Se
1 1 2 1
direct
0.0000 0.0000 0.5000
0.0000 0.0000 0.0000
0.0000 0.5000 0.0000
0.5000 0.0000 0.0000
0.5000 0.5000 0.5000

3.
PBE CdIrRh2, relaxed; DFT formation energy = 0.12 eV per atom; crystal system = trigonal
1.0
9.1479 -1.4021 -0.0029
9.1479 1.4021 -0.0029
8.9338 0.0000 2.4161
Cd Ir Rh
1 1 2
direct
0.5008 0.5008 0.5008
0.7448 0.7448 0.7448
0.9999 0.9999 0.9999
0.2545 0.2545 0.2545

4.
PBE CeYFe17, relaxed; DFT formation energy = 0.00 eV per atom; crystal system = trigonal
1.0
-6.2605 -0.5232 -1.2567
0.5067 -2.2498 -5.9774
-0.6352 -6.2270 1.3669
Ce Y Fe
1 1 17
direct
0.6578 0.6578 0.6578
0.3400 0.3400 0.3400
0.3423 0.8420 0.3423
0.3423 0.3423 0.8420
0.8420 0.3423 0.3423
0.6574 0.1563 0.6574
0.6574 0.6574 0.1563
0.1563 0.6574 0.6574
0.7043 0.2965 0.0000
0.0000 0.7043 0.2965
0.2965 0.0000 0.7043
0.0000 0.2965 0.7043
0.7043 0.0000 0.2965
0.2965 0.7043 0.0000
0.0018 0.0018 0.4994
0.4994 0.0018 0.0018
0.0018 0.4994 0.0018
0.9041 0.9041 0.9041
0.0957 0.0957 0.0957

5.
PBE NdYEr3, relaxed; DFT formation energy = 0.01 eV per atom; ΔE to the lowest computed polymorph = 0 meV per atom; crystal system = monoclinic
1.0
9.5214 0.0000 -1.2430
0.0000 5.6489 0.0000
-1.2708 0.0000 6.1560
Nd Y Er
2 2 6
direct
0.1999 0.4500 0.4334
0.8001 0.9500 0.5666
0.5998 0.9499 0.9659
0.4002 0.4499 0.0341
0.1998 0.9500 0.7674
0.9997 0.4501 0.8361
0.5994 0.4501 0.6328
0.4006 0.9501 0.3672
0.0003 0.9501 0.1639
0.8002 0.4500 0.2326

6.
PBE CaTeRuO6, relaxed; uncorrected formation energy = -12.4 eV per formula unit; crystal system = tetragonal
1.0
-2.6847 -2.7786 2.9384
-1.1882 -2.8293 -3.7610
7.6652 -5.5511 1.7542
Ca Te Ru O
2 2 2 12
direct
0.5000 0.5000 0.4948
0.0000 0.0000 0.9948
0.5000 0.5000 0.8304
0.0000 0.0000 0.3304
0.5000 0.5000 0.1624
0.0000 0.0000 0.6624
0.1764 0.8236 0.5025
0.8236 0.1764 0.5025
0.3236 0.3236 0.0025
0.6764 0.6764 0.0025
0.2079 0.7921 0.1832
0.7921 0.2079 0.1832
0.2921 0.2921 0.6832
0.7079 0.7079 0.6832
0.7860 0.2140 0.8206
0.2140 0.7860 0.8206
0.7140 0.7140 0.3206
0.2860 0.2860 0.3206

7.
PBE CaAl2Hg, relaxed; DFT formation energy = -0.14 eV per atom; crystal system = tetragonal
1.0
-0.3430 3.7013 2.3344
-4.2129 -0.9127 0.8282
1.2101 -2.2242 3.7043
Ca Hg Al
1 1 2
direct
0.5000 0.0000 0.5000
0.0000 0.5000 0.5000
0.0000 0.0000 0.0000
0.5000 0.5000 0.0000

8.
PBE Zr3OsAu, relaxed; DFT formation energy = 0.34 eV per atom; ΔE to the lowest computed polymorph = 0 meV per atom; crystal system = cubic
1.0
-0.3999 -2.4080 4.3984
-4.1437 -2.3261 -1.6502
2.8238 -3.7543 -1.7987
Os Au Zr
1 1 3
direct
0.0000 0.0000 0.0000
0.5000 0.5000 0.5000
0.0000 0.5000 0.0000
0.0000 0.0000 0.5000
0.5000 0.0000 0.0000

9.
PBE Tb2PuGa6, relaxed; DFT formation energy = -0.54 eV per atom; ΔE to the lowest computed polymorph = 0 meV per atom; crystal system = hexagonal
1.0
3.5957 0.0000 0.0000
0.0000 6.6777 -3.8554
0.0000 0.0000 7.7107
Tb Pu Ga
2 1 6
direct
0.0000 0.3333 0.6667
0.0000 0.6667 0.3333
0.0000 0.0000 0.0000
0.5000 0.3339 0.3339
0.5000 0.6661 0.6661
0.5000 0.0000 0.6661
0.5000 0.6661 0.0000
0.5000 0.3339 0.0000
0.5000 0.0000 0.3339

10.
PBE ZrTe2, relaxed; uncorrected formation energy = -2.0 eV per formula unit; crystal system = tetragonal
1.0
-5.5121 -2.1118 -4.6578
-1.6808 -5.2815 -5.0812
2.6188 2.2741 6.6715
Te Zr
2 1
direct
0.3741 0.3741 0.0000
0.6259 0.6259 0.0000
0.0000 0.0000 0.0000

11.
PBE Ta3Cu5, relaxed; DFT formation energy = 0.20 eV per atom; crystal system = orthorhombic
1.0
3.3512 -4.1928 0.0000
3.3512 4.1928 0.0000
0.0000 0.0000 4.1381
Ta Cu
3 5
direct
0.5000 0.5000 0.0000
0.7336 0.2664 0.5000
0.2664 0.7336 0.5000
0.0000 0.0000 0.0000
0.5000 0.0000 0.0000
0.0000 0.5000 0.0000
0.7855 0.7855 0.5000
0.2145 0.2145 0.5000

12.
PBE Rb2TaTeF6, relaxed; uncorrected formation energy = -25.2 eV per formula unit; crystal system = tetragonal
1.0
7.3700 0.0000 0.0000
0.0000 7.3700 0.0000
3.6850 3.6850 5.3286
F Te Rb Ta
6 1 2 1
direct
0.1806 0.1806 0.6387
0.8194 0.8194 0.3613
0.1847 0.1847 0.0000
0.8153 0.8153 0.0000
0.8153 0.1847 0.0000
0.1847 0.8153 0.0000
0.5000 0.5000 0.0000
0.7500 0.2500 0.5000
0.2500 0.7500 0.5000
0.0000 0.0000 0.0000

13.
PBE Pm3Dy2HoSb6, relaxed; uncorrected formation energy = -13.9 eV per formula unit; crystal system = monoclinic
1.0
4.4372 0.0000 0.0000
0.0000 8.8615 0.3235
-2.2186 -2.5439 9.3225
Pm Dy Ho Sb
3 2 1 6
direct
0.5000 0.5000 0.0000
0.8331 0.1667 0.6663
0.1669 0.8333 0.3337
0.8335 0.6669 0.6670
0.1665 0.3331 0.3330
0.5000 0.0000 0.0000
0.3353 0.9131 0.6705
0.6683 0.5793 0.3366
0.6647 0.0869 0.3295
0.0014 0.2452 0.0028
0.9986 0.7548 0.9972
0.3317 0.4207 0.6634

14.
PBE LiPu2Br5, relaxed; ΔE to the lowest computed polymorph = 0 meV per atom; uncorrected formation energy = -11.1 eV per formula unit; crystal system = orthorhombic
1.0
5.8910 0.0000 0.0000
-2.9455 6.6477 0.0000
0.0000 0.0000 14.1926
Li Pu Br
2 4 10
direct
0.8057 0.6114 0.7500
0.1943 0.3886 0.2500
0.8413 0.6826 0.4407
0.8413 0.6826 0.0593
0.1587 0.3174 0.5593
0.1587 0.3174 0.9407
0.9482 0.8965 0.8768
0.9482 0.8965 0.6232
0.3296 0.6593 0.4190
0.3296 0.6593 0.0810
0.7395 0.4789 0.2500
0.2605 0.5211 0.7500
0.6704 0.3407 0.5810
0.6704 0.3407 0.9190
0.0518 0.1035 0.1232
0.0518 0.1035 0.3768

15.
PBE BeTlRu, relaxed; DFT formation energy = 0.56 eV per atom; ΔE to the lowest computed polymorph = 334 meV per atom; crystal system = trigonal
1.0
-1.8703 1.7707 1.5645
-1.1020 -2.2566 -1.6656
0.4713 -3.9247 5.0055
Ru Tl Be
1 1 1
direct
0.6667 0.3333 0.2857
0.3333 0.6667 0.6606
0.0000 0.0000 0.0537

16.
PBE Mn3InPt4, relaxed; DFT formation energy = -0.38 eV per atom; crystal system = orthorhombic
1.0
-0.8634 -2.3065 -3.9877
2.3223 -4.8555 2.3056
-8.2888 -2.4416 3.2069
Mn Pt In
6 8 2
direct
0.0000 0.0000 0.0000
0.0000 0.0000 0.5000
0.5841 0.0000 0.7500
0.4159 0.0000 0.2500
0.5753 0.5000 0.7500
0.4247 0.5000 0.2500
0.5000 0.7583 0.0000
0.5000 0.7583 0.5000
0.5000 0.2417 0.0000
0.5000 0.2417 0.5000
0.0887 0.7578 0.7500
0.9113 0.7578 0.2500
0.9113 0.2422 0.2500
0.0887 0.2422 0.7500
0.0000 0.5000 0.0000
0.0000 0.5000 0.5000

17.
PBE HgMoSe, relaxed; ΔE to the lowest computed polymorph = 906 meV per atom; uncorrected formation energy = 2.6 eV per formula unit; crystal system = cubic
1.0
-1.0029 -3.3056 2.8263
2.5006 -3.6959 0.0889
2.6437 -0.8221 3.5008
Hg Mo Se
1 1 1
direct
0.0000 0.0000 0.0000
0.5000 0.5000 0.5000
0.7500 0.7500 0.7500

18.
PBE MnCrC, relaxed; DFT formation energy = 0.03 eV per atom; ΔE to the lowest computed polymorph = 21 meV per atom; crystal system = orthorhombic
1.0
-1.3925 1.6692 -1.4863
-1.5381 0.5957 2.1101
4.8696 5.7719 1.9199
Cr C Mn
2 2 2
direct
0.0000 0.0000 0.4111
0.0000 0.5000 0.9111
0.0000 0.0000 0.1058
0.0000 0.5000 0.6058
0.5000 0.0000 0.6966
0.5000 0.5000 0.1966

19.
PBE SrTbAgAu, relaxed; DFT formation energy = -0.47 eV per atom; crystal system = cubic
1.0
-4.6947 1.1450 2.1197
-1.8760 -2.9078 3.9837
-0.2740 2.0435 4.8574
Tb Au Ag Sr
1 1 1 1
direct
0.0000 0.0000 0.0000
0.2500 0.2500 0.2500
0.7500 0.7500 0.7500
0.5000 0.5000 0.5000

20.
PBE LiSmHo4S8, relaxed; uncorrected formation energy = -27.5 eV per formula unit; crystal system = trigonal
1.0
-3.7503 -3.6865 6.0086
3.7294 -1.0654 6.9796
-2.3167 4.2219 6.4498
Li Sm Ho S
1 1 4 8
direct
0.3753 0.3753 0.8740
0.0041 0.0041 0.9877
0.6259 0.6259 0.1222
0.0047 0.4861 0.5046
0.4861 0.0047 0.5046
0.0047 0.0047 0.5046
0.2470 0.7687 0.7374
0.7687 0.2470 0.7374
0.2470 0.2470 0.7374
0.2427 0.2427 0.2720
0.7541 0.2272 0.2647
0.2272 0.7541 0.2647
0.7541 0.7541 0.2647
0.7586 0.7586 0.7241

For reference, Fermi-level density of states by record: 0.89 0.81 5.50 23.69 8.21 1.41 2.20 8.34 8.80 2.50 7.63 17.12 1.92 26.82 3.01 2.76 1.91 1.93 3.05 0.00 states/eV/f.u..